(1)
DFT (PBE-GGA) results for a geometry-optimized AlOs2Pt structure.

abc: 2.7732 2.7732 26.2288
angles: 90.00 90.00 120.00
Space group R-3m (No. 166, hexagonal axes)
Unique sites:
Al (0.0000, 0.0000, 0.0000) (multiplicity 3)
Os (0.0000, 0.0000, 0.2534) (multiplicity 6)
Pt (0.0000, 0.0000, 0.5000) (multiplicity 3)

Values from the calculation:
ΔH_f (0 K)	-0.01	eV per atom

***

(2)
DFT (PBE-GGA) results for a geometry-optimized RbNa4Bi2 structure.

abc: 5.786 5.786 17.015
angles: 90.00 90.00 90.00
Space group I4/mmm (No. 139)
Unique sites:
Rb (0.000, 0.000, 0.000) (multiplicity 2)
Na (0.000, 0.000, 0.217) (multiplicity 4)
Na (0.000, 0.500, 0.000) (multiplicity 4)
Bi (0.000, 0.000, 0.402) (multiplicity 4)

Values from the calculation:
energy above the lowest structure with this stoichiometry	0.336	eV/atom
ΔH_f (0 K)	0.09	eV per atom

***

(3)
DFT (PBE-GGA) results for a geometry-optimized Fe2AuN structure.

abc: 2.9224 2.9224 18.8645
angles: 90.00 90.00 120.00
Space group R-3m (No. 166, hexagonal axes)
Unique sites:
Fe (0.0000, 0.0000, 0.2154) (multiplicity 6)
Au (0.0000, 0.0000, 0.0000) (multiplicity 3)
N (0.0000, 0.0000, 0.5000) (multiplicity 3)

Values from the calculation:
raw formation energy	0.07	eV per atom

***

(4)
DFT (PBE-GGA) results for a geometry-optimized YTlNi2 structure.

abc: 6.657 6.657 6.657
angles: 90.00 90.00 90.00
Space group F-43m (No. 216)
Unique sites:
Y (0.000, 0.000, 0.000) (multiplicity 4)
Tl (0.250, 0.250, 0.750) (multiplicity 4)
Ni (0.000, 0.000, 0.500) (multiplicity 4)
Ni (0.250, 0.250, 0.250) (multiplicity 4)

Values from the calculation:
ΔH_f (0 K)	0.07	eV per atom

***

(5)
DFT (PBE-GGA) results for a geometry-optimized BaTa2Pt structure.

abc: 3.101 3.892 7.956
angles: 90.00 90.14 90.00
Space group P2/m (No. 10)
Unique sites:
Ba (0.000, 0.000, 0.000) (multiplicity 1)
Ta (0.458, 0.500, 0.340) (multiplicity 2)
Pt (0.000, 0.000, 0.500) (multiplicity 1)

Values from the calculation:
energy above the lowest structure with this stoichiometry	0.224	eV/atom
ΔH_f (0 K)	0.36	eV per atom

***

(6)
DFT (PBE-GGA) results for a geometry-optimized MoSeBr2 structure.

abc: 4.616 4.616 4.318
angles: 90.00 90.00 90.00
Space group P4/mmm (No. 123)
Unique sites:
Mo (0.000, 0.000, 0.000) (multiplicity 1)
Se (0.500, 0.500, 0.000) (multiplicity 1)
Br (0.000, 0.500, 0.500) (multiplicity 2)

Values from the calculation:
energy above the lowest structure with this stoichiometry	1.276	eV/atom
raw formation energy	0.94	eV per atom

***

(7)
DFT (PBE-GGA) results for a geometry-optimized VCrAs structure.

abc: 6.060 4.799 5.789
angles: 90.00 92.30 90.00
Space group P2_1/c (No. 14)
Unique sites:
V (0.237, 0.133, 0.021) (multiplicity 4)
Cr (0.473, 0.643, 0.184) (multiplicity 4)
As (0.162, 0.640, 0.879) (multiplicity 4)

Values from the calculation:
ΔH_f (0 K)	-0.14	eV per atom

***

(8)
DFT (PBE-GGA) results for a geometry-optimized NdY6Th2 structure.

abc: 10.785 17.826 7.245
angles: 90.00 122.33 90.00
Space group C2/c (No. 15)
Unique sites:
Nd (0.000, 0.007, 0.250) (multiplicity 4)
Y (0.165, 0.499, 0.245) (multiplicity 8)
Y (0.166, 0.332, 0.990) (multiplicity 8)
Y (0.169, 0.333, 0.497) (multiplicity 8)
Th (0.005, 0.169, 0.512) (multiplicity 8)

Values from the calculation:
energy above the lowest structure with this stoichiometry	0.059	eV/atom
ΔH_f (0 K)	0.13	eV per atom

***

(9)
DFT (PBE-GGA) results for a geometry-optimized GdDyErTl structure.

abc: 7.729 7.729 7.729
angles: 90.00 90.00 90.00
Space group F-43m (No. 216)
Unique sites:
Gd (0.000, 0.000, 0.000) (multiplicity 4)
Dy (0.000, 0.000, 0.500) (multiplicity 4)
Er (0.250, 0.250, 0.250) (multiplicity 4)
Tl (0.250, 0.250, 0.750) (multiplicity 4)

Values from the calculation:
ΔH_f (0 K)	-0.06	eV per atom

***

(10)
DFT (PBE-GGA) results for a geometry-optimized PuNbTc structure.

abc: 3.216 3.216 11.008
angles: 90.00 90.00 90.00
Space group I4mm (No. 107)
Unique sites:
Pu (0.000, 0.000, 0.000) (multiplicity 2)
Nb (0.000, 0.000, 0.307) (multiplicity 2)
Tc (0.000, 0.000, 0.672) (multiplicity 2)

Values from the calculation:
ΔH_f (0 K)	0.05	eV per atom

***

(11)
DFT (PBE-GGA) results for a geometry-optimized Pm4SmHo2Er2 structure.

abc: 15.232 5.061 8.022
angles: 90.00 108.35 90.00
Space group C2/m (No. 12)
Unique sites:
Pm (0.054, 0.000, 0.332) (multiplicity 4)
Pm (0.223, 0.500, 0.332) (multiplicity 4)
Sm (0.000, 0.500, 0.000) (multiplicity 2)
Ho (0.111, 0.500, 0.668) (multiplicity 4)
Er (0.168, 0.000, 0.000) (multiplicity 4)

Values from the calculation:
ΔH_f (0 K)	0.02	eV per atom

***

(12)
DFT (PBE-GGA) results for a geometry-optimized Dy3Ho6Er2Th structure.

abc: 6.120 10.592 11.712
angles: 90.00 100.03 90.00
Space group C2/m (No. 12)
Unique sites:
Dy (0.000, 0.000, 0.000) (multiplicity 2)
Dy (0.000, 0.333, 0.000) (multiplicity 4)
Ho (0.246, 0.500, 0.251) (multiplicity 4)
Ho (0.249, 0.335, 0.749) (multiplicity 8)
Er (0.000, 0.167, 0.500) (multiplicity 4)
Th (0.000, 0.500, 0.500) (multiplicity 2)

Values from the calculation:
ΔH_f (0 K)	0.02	eV per atom

***

no.,calculated density (g/cm³)
1,17.2
2,3.5
3,11.5
4,9.2
5,12.0
6,6.0
7,7.0
8,6.4
9,9.9
10,12.7
11,7.9
12,9.1